{"formula": "BaMgRuCl2", "functional": "GGA-PBE", "state": "optimized geometry", "lattice": [[-5.7016, 1.2298, 0.6469], [-1.3907, -4.8506, -3.0364], [-0.1013, -3.0925, 4.9865]], "species": ["Ba", "Ru", "Mg", "Cl", "Cl"], "frac_coords": [[0.0000, 0.0000, 0.0000], [0.0000, 0.5000, 0.0000], [0.5000, 0.5000, 0.5000], [0.5000, 0.0000, 0.0000], [0.0000, 0.0000, 0.5000]], "raw_formation_energy_kcal_per_mol_atoms": 2.7, "crystal_system": "tetragonal", "dft_energy_ev_per_cell": -15.90, "spacegroup": "P4/mmm, No. 123"}